A relaxed CdPb2Se crystal, computed with PBE. Values from VASP.

Results
* calculated volume: 29.2 Å³ per atom
* energy: -3.092 eV/atom
* symmetry: Cm
* uncorrected formation energy: -0.138 eV/atom
* distance to the lowest polymorph of the same formula: 21 meV/atom

Geometry as Quantum ESPRESSO input:
```
&SYSTEM
  ibrav = 0, nat = 4, ntyp = 3
/
ATOMIC_SPECIES
Cd 112.41 Cd.upf
Pb 207.20 Pb.upf
Se 78.96 Se.upf
ATOMIC_POSITIONS crystal
Cd 0.000 0.000 0.000
Pb 0.264 0.264 0.006
Pb 0.524 0.524 0.504
Se 0.767 0.767 0.558
CELL_PARAMETERS angstrom
6.063 -2.019 0.000
6.063 2.019 0.000
-0.922 0.000 4.778
```

A relaxed K2H4Ru crystal, computed with PBE. Values from VASP.

Results
* calculated volume: 13.2 Å³ per atom
* energy: -3.644 eV/atom
* symmetry: I4/mmm

Geometry as Quantum ESPRESSO input:
```
&SYSTEM
  ibrav = 0, nat = 7, ntyp = 3
/
ATOMIC_SPECIES
K 39.10 K.upf
H 1.01 H.upf
Ru 101.07 Ru.upf
ATOMIC_POSITIONS crystal
K 0.148 0.148 0.000
K 0.852 0.852 0.000
H 0.000 0.500 0.500
H 0.368 0.368 0.000
H 0.500 0.000 0.500
H 0.632 0.632 0.000
Ru 0.500 0.500 0.000
CELL_PARAMETERS angstrom
-1.860 1.860 6.658
1.860 -1.860 6.658
1.860 1.860 -6.658
```

A relaxed Be2PAu crystal, computed with PBE. Values from VASP.

Results
* calculated volume: 13.1 Å³ per atom
* formation enthalpy at 0 K: 0.1296 eV per atom
* energy: -3.905 eV/atom
* symmetry: Imm2

Geometry as Quantum ESPRESSO input:
```
&SYSTEM
  ibrav = 0, nat = 4, ntyp = 3
/
ATOMIC_SPECIES
Be 9.01 Be.upf
P 30.97 P.upf
Au 196.97 Au.upf
ATOMIC_POSITIONS crystal
Be 0.000 0.000 0.000
Be 0.812 0.312 0.500
P 0.461 0.461 0.000
Au 0.191 0.691 0.500
CELL_PARAMETERS angstrom
-1.539 1.565 5.457
1.539 -1.565 5.457
1.539 1.565 -5.457
```

A relaxed BaNaPb2 crystal, computed with PBE. Values from VASP.

Results
* calculated volume: 39.5 Å³ per atom
* formation enthalpy at 0 K: -0.1282 eV per atom
* energy: -2.793 eV/atom
* symmetry: I-42d

Geometry as Quantum ESPRESSO input:
```
&SYSTEM
  ibrav = 0, nat = 8, ntyp = 3
/
ATOMIC_SPECIES
Ba 137.33 Ba.upf
Na 22.99 Na.upf
Pb 207.20 Pb.upf
ATOMIC_POSITIONS crystal
Ba 0.000 0.000 0.000
Ba 0.750 0.250 0.500
Na 0.250 0.750 0.500
Na 0.500 0.500 0.000
Pb 0.213 0.625 0.088
Pb 0.375 0.463 0.588
Pb 0.537 0.125 0.912
Pb 0.875 0.787 0.412
CELL_PARAMETERS angstrom
-2.691 2.691 10.919
2.691 -2.691 10.919
2.691 2.691 -10.919
```

A relaxed VTcIr crystal, computed with PBE. Values from VASP.

Results
* calculated volume: 14.3 Å³ per atom
* formation enthalpy at 0 K: -0.2183 eV per atom
* energy: -9.667 eV/atom
* symmetry: Cmc2_1
* distance to the lowest polymorph of the same formula: 70 meV/atom

Geometry as Quantum ESPRESSO input:
```
&SYSTEM
  ibrav = 0, nat = 6, ntyp = 3
/
ATOMIC_SPECIES
V 50.94 V.upf
Tc 98.00 Tc.upf
Ir 192.22 Ir.upf
ATOMIC_POSITIONS crystal
V 0.197 0.803 0.500
V 0.803 0.197 0.000
Tc 0.198 0.802 0.173
Tc 0.802 0.198 0.673
Ir 0.286 0.714 0.838
Ir 0.714 0.286 0.338
CELL_PARAMETERS angstrom
1.933 -1.894 0.000
1.933 1.894 0.000
0.000 0.000 11.759
```

A relaxed Sc3Cu8Hg crystal, computed with PBE. Values from VASP.

Results
* calculated volume: 15.0 Å³ per atom
* formation enthalpy at 0 K: -0.2220 eV per atom
* energy: -4.561 eV/atom
* symmetry: P3m1

Geometry as Quantum ESPRESSO input:
```
&SYSTEM
  ibrav = 0, nat = 12, ntyp = 3
/
ATOMIC_SPECIES
Sc 44.96 Sc.upf
Cu 63.55 Cu.upf
Hg 200.59 Hg.upf
ATOMIC_POSITIONS crystal
Sc 0.000 0.000 0.000
Sc 0.000 0.000 0.385
Sc 0.333 0.667 0.856
Cu 0.005 0.502 0.180
Cu 0.331 0.165 0.688
Cu 0.498 0.502 0.180
Cu 0.498 0.995 0.180
Cu 0.667 0.333 0.434
Cu 0.667 0.333 0.937
Cu 0.835 0.165 0.688
Cu 0.835 0.669 0.688
Hg 0.333 0.667 0.489
CELL_PARAMETERS angstrom
5.043 0.000 0.000
-2.522 4.368 0.000
0.000 0.000 8.182
```

A relaxed PrCuNi2 crystal, computed with PBE. Values from VASP.

Results
* calculated volume: 15.8 Å³ per atom
* formation enthalpy at 0 K: -0.2581 eV per atom
* energy: -5.368 eV/atom
* symmetry: R-3m

Geometry as Quantum ESPRESSO input:
```
&SYSTEM
  ibrav = 0, nat = 12, ntyp = 3
/
ATOMIC_SPECIES
Pr 140.91 Pr.upf
Cu 63.55 Cu.upf
Ni 58.69 Ni.upf
ATOMIC_POSITIONS crystal
Pr 0.000 0.000 0.000
Pr 0.137 0.137 0.137
Pr 0.863 0.863 0.863
Cu 0.333 0.333 0.333
Cu 0.500 0.500 0.500
Cu 0.667 0.667 0.667
Ni 0.081 0.581 0.581
Ni 0.419 0.419 0.919
Ni 0.419 0.919 0.419
Ni 0.581 0.081 0.581
Ni 0.581 0.581 0.081
Ni 0.919 0.419 0.419
CELL_PARAMETERS angstrom
2.568 1.483 8.293
-2.568 1.483 8.293
0.000 -2.965 8.293
```

A relaxed Er4Co3Rh crystal, computed with PBE. Values from VASP.

Results
* calculated volume: 18.5 Å³ per atom
* formation enthalpy at 0 K: -0.3771 eV per atom
* energy: -6.242 eV/atom
* symmetry: Pmmm

Geometry as Quantum ESPRESSO input:
```
&SYSTEM
  ibrav = 0, nat = 8, ntyp = 3
/
ATOMIC_SPECIES
Er 167.26 Er.upf
Co 58.93 Co.upf
Rh 102.91 Rh.upf
ATOMIC_POSITIONS crystal
Er 0.000 0.000 0.000
Er 0.000 0.000 0.500
Er 0.000 0.500 0.244
Er 0.000 0.500 0.756
Co 0.500 0.000 0.249
Co 0.500 0.000 0.751
Co 0.500 0.500 0.000
Rh 0.500 0.500 0.500
CELL_PARAMETERS angstrom
3.326 0.000 0.000
0.000 4.718 0.000
0.000 0.000 9.417
```